This record from the Alexandria database describes a relaxed structure of Ca4Mn2Al2O11. The functional is PBE+U.

Values from the calculation:
- uncorrected energy (eV per atom) = -6.9690
- relative energy among the computed polymorphs (kJ/mol of formula units) = 0
- DOS at the Fermi energy (states/eV per atom) = 0.088

Lattice parameters (Å, degrees): 7.5578 7.7583 29.4383 90.00 90.00 90.00
Space group Fmmm (No. 69)
Symmetry-distinct sites (fractional):
Ca: 0.0000 0.2195 0.0707 (multiplicity 16)
Ca: 0.0000 0.2496 0.1916 (multiplicity 16)
Mn: 0.2418 0.0000 0.3760 (multiplicity 16)
Al: 0.1747 0.0000 0.5000 (multiplicity 8)
Al: 0.2500 0.0000 0.2500 (multiplicity 8)
O: 0.0000 0.0000 0.1322 (multiplicity 8)
O: 0.0000 0.0000 0.2405 (multiplicity 8)
O: 0.0000 0.0000 0.3945 (multiplicity 8)
O: 0.0000 0.1627 0.5000 (multiplicity 8)
O: 0.1964 0.0000 0.3151 (multiplicity 16)
O: 0.2083 0.0000 0.0519 (multiplicity 16)
O: 0.2500 0.2500 0.1207 (multiplicity 16)
O: 0.2500 0.2500 0.2500 (multiplicity 8)